# La2CrAs PBE optimized geometry
data_La2CrAs
_cell_length_a 3.971
_cell_length_b 4.602
_cell_length_c 11.278
_cell_angle_alpha 90.00
_cell_angle_beta 90.00
_cell_angle_gamma 90.00
_space_group_name_H-M_alt 'I m m 2'
_space_group_IT_number 44
_space_group_name_Hall 'I 2 -2'
loop_
_atom_site_label
_atom_site_type_symbol
_atom_site_fract_x
_atom_site_fract_y
_atom_site_fract_z
La1 La 0.000 0.000 0.000
La2 La 0.000 0.500 0.226
Cr1 Cr 0.000 0.500 0.774
As1 As 0.000 0.000 0.430
# final energy: -6.3960 eV/atom